(1)
A plane-wave DFT calculation with PBE was carried out for a relaxed structure of CsRb2Ge2.

The space group is C2/m (No. 12) and the conventional cell measures 14.8963, 4.2342 and 7.6283 Å, with angles of 90.00, 101.09 and 90.00 degrees. The asymmetric unit holds Cs at (0.0000, 0.0000, 0.0000), Rb at (0.1505, 0.5000, 0.5847) and Ge at (0.2285, 0.5000, 0.0758).

The value obtained for the formation energy is -0.1 eV per formula unit. As for the energy above the lowest structure with this stoichiometry: 0 meV/atom.

(2)
A plane-wave DFT calculation with PBE was carried out for a relaxed structure of Y3Te3C.

The space group is C2/m (No. 12) and the conventional cell measures 8.5335, 12.4496 and 7.6691 Å, with angles of 90.00, 103.41 and 90.00 degrees. The asymmetric unit holds Y at (0.0956, 0.0000, 0.3320), Y at (0.2022, 0.3558, 0.2182), Te at (0.0000, 0.1662, 0.0000), Te at (0.0000, 0.2585, 0.5000), Te at (0.1104, 0.5000, 0.8464) and C at (0.1685, 0.0000, 0.6423).

The calculation puts the uncorrected formation energy at -945 meV/atom.

(3)
A plane-wave DFT calculation with PBE was carried out for a relaxed structure of Y2Ho2Tl.

The space group is C2/m (No. 12) and the conventional cell measures 8.2915, 9.7588 and 8.5226 Å, with angles of 90.00, 117.67 and 90.00 degrees. The asymmetric unit holds Y at (0.0591, 0.1847, 0.2188), Ho at (0.1608, 0.5000, 0.9219), Ho at (0.2240, 0.0000, 0.6193) and Tl at (0.0000, 0.3380, 0.5000).

The value obtained for the formation energy is -0.3 eV per formula unit.

Let's list D(E_F) in order: 5.98, 16.76, 23.30 states/eV/cell.